This record from Alexandria via LeMat-Bulk describes a relaxed PmWO5 crystal. The functional is PBE+U.

Lattice parameters (Å, degrees): 5.684 5.684 7.746 70.28 70.28 71.22
Site moments in Bohr magnetons follow the coordinates.
Atoms (fractional coordinates):
O 0.296 0.720 0.036  0.19
O 0.930 0.070 0.250  0.08
O 0.070 0.930 0.750  0.08
O 0.212 0.240 0.886  0.25
O 0.788 0.760 0.114  0.25
O 0.720 0.296 0.536  0.19
O 0.240 0.212 0.386  0.25
O 0.760 0.788 0.614  0.25
O 0.280 0.704 0.464  0.19
O 0.704 0.280 0.964  0.19
W 0.000 0.000 0.500  -0.11
W 0.000 0.000 0.000  -0.11
Pm 0.448 0.552 0.750  -0.02
Pm 0.552 0.448 0.250  -0.02

The value obtained for the raw total energy is -7.56 eV per atom. Its polymorph energy (0 for the lowest one) is 0.000 eV per atom.